No. 1
## Ho2CuB2Rh5 (PBE)

Data for a geometry-optimized Ho2CuB2Rh5 structure.

Cell: 3.194 9.436 9.436 Å, 90.00 90.00 90.00°
Sites, in units of the cell vectors:
Ho1 0.000 0.824 0.676
Ho2 0.000 0.176 0.324
Ho3 0.000 0.676 0.176
Ho4 0.000 0.324 0.824
B1 0.000 0.625 0.875
B2 0.000 0.375 0.125
B3 0.000 0.875 0.375
B4 0.000 0.125 0.625
Rh1 0.500 0.281 0.570
Rh2 0.500 0.430 0.281
Rh3 0.500 0.500 0.000
Rh4 0.500 0.070 0.781
Rh5 0.500 0.719 0.430
Rh6 0.500 0.570 0.719
Rh7 0.500 0.930 0.219
Rh8 0.500 0.219 0.070
Rh9 0.500 0.000 0.500
Rh10 0.500 0.781 0.930
Cu1 0.000 0.500 0.500
Cu2 0.000 0.000 0.000

Values from the calculation:
The calculation puts the formation energy at -6.83 eV/f.u. The symmetry is P4/mbm (127).



No. 2
## Cu3BI (PBE)

Data for a geometry-optimized Cu3BI structure.

Cell: 4.240 4.240 4.240 Å, 90.00 90.00 90.00°
Sites, in units of the cell vectors:
B1 0.000 0.000 0.000
Cu1 0.000 0.000 0.500
Cu2 0.500 0.000 0.000
Cu3 0.000 0.500 0.000
I1 0.500 0.500 0.500

Values from the calculation:
The calculation puts the energy above the lowest structure with this stoichiometry at 0.00 eV per formula unit. The value obtained for the formation energy (no corrections) is 0.6344 eV/atom. The symmetry is Pm-3m (221).



No. 3
## CuB2I (PBE)

Data for a geometry-optimized CuB2I structure.

Cell: 4.292 4.292 4.292 Å, 60.00 60.00 60.00°
Sites, in units of the cell vectors:
B1 0.750 0.750 0.750
B2 0.250 0.250 0.250
Cu1 0.000 0.000 0.000
I1 0.500 0.500 0.500

Values from the calculation:
The calculation puts the energy above the lowest structure with this stoichiometry at 2.92 eV per formula unit. The value obtained for the formation energy (no corrections) is 2.0409 eV/atom. The symmetry is Fm-3m (225).



No. 4
## Cu3BI (PBE)

Data for a geometry-optimized Cu3BI structure.

Cell: 4.926 4.926 4.926 Å, 90.00 90.00 90.00°
Sites, in units of the cell vectors:
Cu1 0.500 0.000 0.000
Cu2 0.000 0.500 0.000
Cu3 0.000 0.000 0.500
B1 0.500 0.500 0.500
I1 0.000 0.000 0.000

Values from the calculation:
The calculation puts the energy above the lowest structure with this stoichiometry at 6.39 eV per formula unit. The value obtained for the formation energy (no corrections) is 1.9129 eV/atom. The symmetry is Pm-3m (221).



No. 5
## CuB2I8 (PBE)

Data for a geometry-optimized CuB2I8 structure.

Cell: 7.073 8.217 8.217 Å, 82.30 91.92 91.92°
Site moments in Bohr magnetons follow the coordinates.
Sites, in units of the cell vectors:
I1 0.811 0.718 0.042  0.10
I2 0.627 0.223 0.223  0.02
I3 0.189 0.958 0.282  0.10
I4 0.189 0.282 0.958  0.10
I5 0.795 0.614 0.614  0.01
I6 0.205 0.386 0.386  0.01
I7 0.811 0.042 0.718  0.10
I8 0.373 0.777 0.777  0.02
Cu1 0.000 0.000 0.000  0.29
B1 0.314 0.222 0.222  -0.01
B2 0.686 0.778 0.778  -0.01

Values from the calculation:
The calculation puts the energy above the lowest structure with this stoichiometry at 0.00 eV per formula unit. The value obtained for the formation energy (no corrections) is -0.0165 eV/atom. The symmetry is C2/m (12).



No. 6
## CuB3I (PBE)

Data for a geometry-optimized CuB3I structure.

Cell: 4.410 4.410 4.410 Å, 90.00 90.00 90.00°
Sites, in units of the cell vectors:
B1 0.000 0.000 0.500
B2 0.000 0.500 0.000
B3 0.500 0.000 0.000
Cu1 0.500 0.500 0.500
I1 0.000 0.000 0.000

Values from the calculation:
The calculation puts the energy above the lowest structure with this stoichiometry at 5.42 eV per formula unit. The value obtained for the formation energy (no corrections) is 2.8007 eV/atom. The symmetry is Pm-3m (221).



No. 7
## CuB2I (PBE)

Data for a geometry-optimized CuB2I structure.

Cell: 5.065 5.065 6.375 Å, 66.59 66.59 90.00°
Sites, in units of the cell vectors:
Cu1 0.500 0.500 0.000
Cu2 0.250 0.750 0.500
B1 0.540 0.125 0.250
B2 0.210 0.625 0.250
B3 0.375 0.460 0.750
B4 0.875 0.790 0.750
I1 0.750 0.250 0.500
I2 0.000 0.000 0.000

Values from the calculation:
The calculation puts the energy above the lowest structure with this stoichiometry at 0.00 eV per formula unit. The value obtained for the formation energy (no corrections) is 1.3106 eV/atom. The symmetry is I-42d (122).



No. 8
## CuBI2 (PBE)

Data for a geometry-optimized CuBI2 structure.

Cell: 5.092 5.092 5.092 Å, 60.00 60.00 60.00°
Sites, in units of the cell vectors:
B1 0.000 0.000 0.000
Cu1 0.500 0.500 0.500
I1 0.250 0.250 0.250
I2 0.750 0.750 0.750

Values from the calculation:
The calculation puts the energy above the lowest structure with this stoichiometry at 1.69 eV per formula unit. The value obtained for the formation energy (no corrections) is 1.2526 eV/atom. The symmetry is Fm-3m (225).



No. 9
## CuBI2 (PBE)

Data for a geometry-optimized CuBI2 structure.

Cell: 6.266 6.266 7.609 Å, 65.69 65.69 90.00°
Sites, in units of the cell vectors:
I1 0.875 0.895 0.750
I2 0.375 0.355 0.750
I3 0.645 0.125 0.250
I4 0.105 0.625 0.250
Cu1 0.750 0.250 0.500
Cu2 0.000 0.000 0.000
B1 0.500 0.500 0.000
B2 0.250 0.750 0.500

Values from the calculation:
The calculation puts the energy above the lowest structure with this stoichiometry at 0.00 eV per formula unit. The value obtained for the formation energy (no corrections) is 0.8292 eV/atom. The symmetry is I-42d (122).



No. 10
## CuB3I (PBE)

Data for a geometry-optimized CuB3I structure.

Cell: 4.160 4.160 4.160 Å, 90.00 90.00 90.00°
Sites, in units of the cell vectors:
B1 0.000 0.000 0.500
B2 0.500 0.000 0.000
B3 0.000 0.500 0.000
I1 0.500 0.500 0.500
Cu1 0.000 0.000 0.000

Values from the calculation:
The calculation puts the energy above the lowest structure with this stoichiometry at 0.00 eV per formula unit. The value obtained for the formation energy (no corrections) is 1.7162 eV/atom. The symmetry is Pm-3m (221).



No. 11
## CuB2I8 (PBE)

Data for a geometry-optimized CuB2I8 structure.

Cell: 9.689 8.224 8.223 Å, 89.15 72.76 72.77°
Site moments in Bohr magnetons follow the coordinates.
Sites, in units of the cell vectors:
I1 0.743 0.960 0.642  0.03
I2 0.760 0.177 0.177  0.18
I3 0.257 0.040 0.358  0.03
I4 0.743 0.642 0.960  0.03
I5 0.240 0.823 0.823  0.18
I6 0.257 0.358 0.040  0.03
I7 0.741 0.529 0.529  0.00
I8 0.259 0.471 0.471  0.00
Cu1 0.000 0.000 0.000  0.25
B1 0.741 0.710 0.710  0.00
B2 0.259 0.290 0.290  0.00

Values from the calculation:
The calculation puts the energy above the lowest structure with this stoichiometry at 0.49 eV per formula unit. The value obtained for the formation energy (no corrections) is 0.0280 eV/atom. The symmetry is C2/m (12).



No. 12
## Cu2BI6 (PBE)

Data for a geometry-optimized Cu2BI6 structure.

Cell: 7.271 10.395 10.395 Å, 86.44 69.25 69.25°
Sites, in units of the cell vectors:
I1 0.807 0.173 0.344
I2 0.536 0.060 0.749
I3 0.355 0.424 0.757
I4 0.464 0.940 0.251
I5 0.036 0.749 0.060
I6 0.964 0.251 0.940
I7 0.693 0.656 0.827
I8 0.307 0.344 0.173
I9 0.193 0.827 0.656
I10 0.145 0.243 0.576
I11 0.855 0.757 0.424
I12 0.645 0.576 0.243
B1 0.250 0.245 0.755
B2 0.750 0.755 0.245
Cu1 0.040 0.665 0.822
Cu2 0.460 0.178 0.335
Cu3 0.540 0.822 0.665
Cu4 0.960 0.335 0.178

Values from the calculation:
The value obtained for the formation energy (no corrections) is -0.0636 eV/atom. The symmetry is C2/c (15).



Number 1: density of states at the Fermi level 8.9 states/eV/cell. Number 2: density of states at the Fermi level 5.2 states/eV/cell. Number 3: density of states at the Fermi level 1.8 states/eV/cell. Number 4: density of states at the Fermi level 4.7 states/eV/cell. Number 5: density of states at the Fermi level 2.5 states/eV/cell. Number 6: density of states at the Fermi level 2.9 states/eV/cell. Number 7: density of states at the Fermi level 4.5 states/eV/cell. Number 8: density of states at the Fermi level 0.8 states/eV/cell. Number 9: density of states at the Fermi level 0.0 states/eV/cell. Number 10: density of states at the Fermi level 2.1 states/eV/cell. Number 11: density of states at the Fermi level 8.8 states/eV/cell. Number 12: density of states at the Fermi level 22.5 states/eV/cell.